--- A ---
The following is a DFT calculation (PBE+U) of a relaxed structure of Na2CoGeO4.

Cell lengths 6.5573, 5.9367, 5.3653 Å; angles 90.00, 90.00, 90.00 degrees
Fractional coordinates of all 16 atoms:
1 Na 0.2504 0.1660 0.0000
2 Na 0.2496 0.8340 0.5000
3 Na 0.7496 0.1660 0.0000
4 Na 0.7504 0.8340 0.5000
5 Co 0.0000 0.3435 0.5027
6 Co 0.5000 0.6565 0.0027
7 Ge 0.0000 0.6525 0.0062
8 Ge 0.5000 0.3475 0.5062
9 O 0.0000 0.3837 0.8670
10 O 0.0000 0.6329 0.3347
11 O 0.2274 0.8007 0.9213
12 O 0.2726 0.1993 0.4213
13 O 0.5000 0.3671 0.8347
14 O 0.5000 0.6163 0.3670
15 O 0.7274 0.1993 0.4213
16 O 0.7726 0.8007 0.9213

## Properties
Space-group type: No. 31
Total moment in μB/f.u.: 3.0
V in Å³ per atom: 13.1

=====

--- B ---
The following is a DFT calculation (PBE+U) of a relaxed structure of Na2CoGeO4.

Cell lengths 5.3002, 5.5915, 8.8981 Å; angles 90.00, 126.50, 90.00 degrees
Fractional coordinates of all 16 atoms:
1 Na 0.0000 0.1794 0.0000
2 Na 0.0000 0.8206 0.5000
3 Na 0.2518 0.3205 0.7567
4 Na 0.2518 0.6795 0.2567
5 Co 0.5163 0.1855 0.5079
6 Co 0.5163 0.8145 0.0079
7 Ge 0.7681 0.3154 0.2540
8 Ge 0.7681 0.6846 0.7540
9 O 0.1236 0.2932 0.2768
10 O 0.1236 0.7068 0.7768
11 O 0.4740 0.1563 0.0493
12 O 0.4740 0.8437 0.5493
13 O 0.6575 0.3784 0.7300
14 O 0.6575 0.6216 0.2300
15 O 0.8389 0.2041 0.4619
16 O 0.8389 0.7959 0.9619

## Properties
Space-group type: No. 7
Total moment in μB/f.u.: 3.0
V in Å³ per atom: 13.2

=====

Quick ranking, most stable first: B, A.